Material: DyNiTe2O8
Method: DFT, PBE+U
State: relaxed

```
DyNiTe2O8
1.0
-3.564 3.564 3.395
3.564 -3.564 3.395
3.564 3.564 -3.395
Dy Ni Te O
1 1 2 8
direct
0.000 0.000 0.000
0.750 0.250 0.500
0.250 0.750 0.500
0.500 0.500 0.000
0.065 0.376 0.311
0.065 0.754 0.689
0.106 0.303 0.803
0.246 0.935 0.311
0.499 0.303 0.197
0.624 0.935 0.689
0.697 0.501 0.803
0.697 0.894 0.197
```

Computed properties:
- uncorrected energy (eV/atom) = -5.728